DFT (PBE) results for AlTeSeN2 after structural relaxation.

Summary:
total moment = 0.0 Bohr magnetons per cell
total DFT energy (no corrections) = -3.98 eV/atom
crystal system = tetragonal
excess energy over the best structure of this formula in the dataset = 0.5815 eV/atom
uncorrected formation energy = 1.420 eV per atom

Structure (CIF):
```
data_AlTeSeN2
_cell_length_a 3.825
_cell_length_b 3.825
_cell_length_c 7.551
_cell_angle_alpha 90.00
_cell_angle_beta 90.00
_cell_angle_gamma 90.00
_space_group_name_H-M_alt 'P 4/m m m'
_space_group_IT_number 123
_space_group_name_Hall '-P 4 2'
loop_
_atom_site_label
_atom_site_fract_x
_atom_site_fract_y
_atom_site_fract_z
Al1 0.000 0.000 0.000
Te1 0.500 0.500 0.000
Se1 0.500 0.500 0.500
N1 0.000 0.500 0.500
```



DFT (PBE) results for AlTe2SeN after structural relaxation.

Summary:
total moment = 0.0 Bohr magnetons per cell
total DFT energy (no corrections) = -3.99 eV/atom
crystal system = tetragonal
excess energy over the best structure of this formula in the dataset = 0.0000 eV/atom
uncorrected formation energy = 0.379 eV per atom

Structure (CIF):
```
data_AlTe2SeN
_cell_length_a 5.562
_cell_length_b 5.562
_cell_length_c 3.523
_cell_angle_alpha 90.00
_cell_angle_beta 90.00
_cell_angle_gamma 90.00
_space_group_name_H-M_alt 'P 4/m m m'
_space_group_IT_number 123
_space_group_name_Hall '-P 4 2'
loop_
_atom_site_label
_atom_site_fract_x
_atom_site_fract_y
_atom_site_fract_z
Al1 0.000 0.000 0.000
Te1 0.000 0.500 0.000
Se1 0.500 0.500 0.500
N1 0.000 0.000 0.500
```



DFT (PBE) results for TiAlSe2N after structural relaxation.

Summary:
total moment = 0.0 Bohr magnetons per cell
total DFT energy (no corrections) = -5.33 eV/atom
crystal system = tetragonal
excess energy over the best structure of this formula in the dataset = 0.1701 eV/atom
uncorrected formation energy = 0.057 eV per atom

Structure (CIF):
```
data_TiAlSe2N
_cell_length_a 4.988
_cell_length_b 4.988
_cell_length_c 3.522
_cell_angle_alpha 90.00
_cell_angle_beta 90.00
_cell_angle_gamma 90.00
_space_group_name_H-M_alt 'P 4/m m m'
_space_group_IT_number 123
_space_group_name_Hall '-P 4 2'
loop_
_atom_site_label
_atom_site_fract_x
_atom_site_fract_y
_atom_site_fract_z
Ti1 0.000 0.000 0.000
Al1 0.500 0.500 0.500
Se1 0.000 0.500 0.500
N1 0.500 0.500 0.000
```



DFT (PBE) results for TiAlSeN2 after structural relaxation.

Summary:
total moment = 0.0 Bohr magnetons per cell
total DFT energy (no corrections) = -6.22 eV/atom
crystal system = tetragonal
excess energy over the best structure of this formula in the dataset = 0.0000 eV/atom
uncorrected formation energy = 0.136 eV per atom

Structure (CIF):
```
data_TiAlSeN2
_cell_length_a 3.844
_cell_length_b 3.844
_cell_length_c 5.439
_cell_angle_alpha 90.00
_cell_angle_beta 90.00
_cell_angle_gamma 90.00
_space_group_name_H-M_alt 'P 4/m m m'
_space_group_IT_number 123
_space_group_name_Hall '-P 4 2'
loop_
_atom_site_label
_atom_site_fract_x
_atom_site_fract_y
_atom_site_fract_z
Ti1 0.000 0.000 0.000
Al1 0.500 0.500 0.500
Se1 0.000 0.000 0.500
N1 0.000 0.500 0.000
```



DFT (PBE) results for TiAlSe2N after structural relaxation.

Summary:
total moment = 0.0 Bohr magnetons per cell
total DFT energy (no corrections) = -5.50 eV/atom
crystal system = tetragonal
excess energy over the best structure of this formula in the dataset = 0.0000 eV/atom
uncorrected formation energy = -0.113 eV per atom

Structure (CIF):
```
data_TiAlSe2N
_cell_length_a 5.114
_cell_length_b 5.114
_cell_length_c 3.728
_cell_angle_alpha 90.00
_cell_angle_beta 90.00
_cell_angle_gamma 90.00
_space_group_name_H-M_alt 'P 4/m m m'
_space_group_IT_number 123
_space_group_name_Hall '-P 4 2'
loop_
_atom_site_label
_atom_site_fract_x
_atom_site_fract_y
_atom_site_fract_z
Ti1 0.000 0.000 0.000
Al1 0.500 0.500 0.500
Se1 0.000 0.500 0.000
N1 0.000 0.000 0.500
```



DFT (PBE) results for TiAlSeN2 after structural relaxation.

Summary:
total moment = 0.3 Bohr magnetons per cell
total DFT energy (no corrections) = -6.06 eV/atom
crystal system = tetragonal
excess energy over the best structure of this formula in the dataset = 0.1546 eV/atom
uncorrected formation energy = 0.291 eV per atom

Structure (CIF):
```
data_TiAlSeN2
_cell_length_a 3.716
_cell_length_b 3.716
_cell_length_c 5.139
_cell_angle_alpha 90.00
_cell_angle_beta 90.00
_cell_angle_gamma 90.00
_space_group_name_H-M_alt 'P 4/m m m'
_space_group_IT_number 123
_space_group_name_Hall '-P 4 2'
loop_
_atom_site_label
_atom_site_fract_x
_atom_site_fract_y
_atom_site_fract_z
Ti1 0.000 0.000 0.000
Al1 0.500 0.500 0.500
Se1 0.500 0.500 0.000
N1 0.000 0.500 0.500
```



DFT (PBE) results for AlTlSeN2 after structural relaxation.

Summary:
total moment = 0.8 Bohr magnetons per cell
total DFT energy (no corrections) = -4.59 eV/atom
crystal system = tetragonal
excess energy over the best structure of this formula in the dataset = 0.0000 eV/atom
uncorrected formation energy = 0.656 eV per atom

Structure (CIF):
```
data_AlTlSeN2
_cell_length_a 3.849
_cell_length_b 3.849
_cell_length_c 5.709
_cell_angle_alpha 90.00
_cell_angle_beta 90.00
_cell_angle_gamma 90.00
_space_group_name_H-M_alt 'P 4/m m m'
_space_group_IT_number 123
_space_group_name_Hall '-P 4 2'
loop_
_atom_site_label
_atom_site_fract_x
_atom_site_fract_y
_atom_site_fract_z
Al1 0.000 0.000 0.000
Tl1 0.500 0.500 0.500
Se1 0.000 0.000 0.500
N1 0.000 0.500 0.000
```



DFT (PBE) results for AlTlSe2N after structural relaxation.

Summary:
total moment = 2.0 Bohr magnetons per cell
total DFT energy (no corrections) = -3.13 eV/atom
crystal system = tetragonal
excess energy over the best structure of this formula in the dataset = 1.0278 eV/atom
uncorrected formation energy = 1.149 eV per atom

Structure (CIF):
```
data_AlTlSe2N
_cell_length_a 5.513
_cell_length_b 5.513
_cell_length_c 4.272
_cell_angle_alpha 90.00
_cell_angle_beta 90.00
_cell_angle_gamma 90.00
_space_group_name_H-M_alt 'P 4/m m m'
_space_group_IT_number 123
_space_group_name_Hall '-P 4 2'
loop_
_atom_site_label
_atom_site_fract_x
_atom_site_fract_y
_atom_site_fract_z
Al1 0.000 0.000 0.000
Tl1 0.500 0.500 0.500
Se1 0.000 0.500 0.500
N1 0.500 0.500 0.000
```



no.,volume (Å³/atom)
1,22.09
2,21.80
3,17.53
4,16.07
5,19.50
6,14.19
7,16.92
8,25.97